Computed, not measured: Cr2IrCl after structural relaxation at the PBE level of DFT.

E_form (uncorrected): 0.284 eV per atom
Energy above the most stable polymorph in this dataset: 208 meV/atom
N(E_F): 6.17 states/eV per cell

Geometry as CIF:
```
data_Cr2IrCl
_chemical_formula_sum 'Cr2 Ir1 Cl1'
_cell_length_a 4.625
_cell_length_b 4.625
_cell_length_c 2.863
_cell_angle_alpha 90.00
_cell_angle_beta 90.00
_cell_angle_gamma 90.00
_symmetry_space_group_name_H-M 'P 4 m m'
_symmetry_Int_Tables_number 99
loop_
_symmetry_equiv_pos_as_xyz
'x,y,z'
'-y,x,z'
'-x,-y,z'
'y,-x,z'
'-x,y,z'
'y,x,z'
'x,-y,z'
'-y,-x,z'
loop_
_atom_site_label
_atom_site_type_symbol
_atom_site_fract_x
_atom_site_fract_y
_atom_site_fract_z
Cr1 Cr 0.000 0.500 0.000
Ir1 Ir 0.000 0.000 0.511
Cl1 Cl 0.500 0.500 0.089
```